1.
Crystalline Nd4TmSb2 at its relaxed geometry, computed with PBE.

## Properties
raw formation energy	0.09	eV/atom
N(E_F)	0.950	states/eV/atom
space-group type	I4/mmm

a b c (Å): 5.399 5.399 9.312
angles (deg): 106.85 106.85 90.00
Sites, in units of the cell vectors:
Nd (0.184, 0.184, 0.367)
Nd (0.500, 0.000, 0.000)
Sb (0.367, 0.367, 0.734)
Nd (0.000, 0.500, 0.000)
Sb (0.633, 0.633, 0.266)
Tm (0.000, 0.000, 0.000)
Nd (0.816, 0.816, 0.633)

---

2.
Crystalline NdYHgOs at its relaxed geometry, computed with PBE.

## Properties
calculated formation energy	-0.1780	eV/atom
N(E_F)	0.669	states/eV/atom
space-group type	F-43m

a b c (Å): 5.106 5.106 5.106
angles (deg): 60.00 60.00 60.00
Sites, in units of the cell vectors:
Y (0.750, 0.750, 0.750)
Hg (0.500, 0.500, 0.500)
Nd (0.250, 0.250, 0.250)
Os (0.000, 0.000, 0.000)

---

3.
Crystalline BaNaBiSe3 at its relaxed geometry, computed with PBE.

## Properties
raw formation energy	-1.07	eV/atom
space-group type	P2_1/m

a b c (Å): 4.459 8.132 10.747
angles (deg): 109.70 90.00 90.00
Sites, in units of the cell vectors:
Se (0.750, 0.453, 0.142)
Se (0.750, 0.276, 0.536)
Ba (0.250, 0.289, 0.306)
Se (0.250, 0.724, 0.464)
Ba (0.750, 0.711, 0.694)
Se (0.250, 0.053, 0.861)
Se (0.750, 0.947, 0.139)
Na (0.250, 0.112, 0.608)
Bi (0.250, 0.708, 0.131)
Bi (0.750, 0.292, 0.869)
Se (0.250, 0.547, 0.858)
Na (0.750, 0.888, 0.392)